1.
First-principles (GGA-PBE) data for a geometry-optimized La2Sm2Dy7 structure, as listed in Alexandria via LeMat-Bulk.

Summary:
* volume: 372 Å³/f.u.
* excess energy over the best structure of this formula in the dataset: 0.0 meV/atom
* ΔH_f (0 K): 148 meV per atom
* symmetry: C2/m, No. 12
* total DFT energy (no corrections): -4.53 eV per atom
* ρ: 7.666 Mg/m³
* N(E_F): 18.30 states/eV/f.u.
* total moment: 0.0 Bohr magnetons per cell

a b c (Å): 8.137 10.484 8.137
angles (deg): 126.04 88.35 53.96
Element x y z (fractional)
Dy 0.657 0.073 0.343
Sm 0.711 0.000 0.711
Sm 0.289 0.000 0.289
Dy 0.235 0.678 0.245
Dy 0.000 0.500 0.000
Dy 0.245 0.322 0.235
Dy 0.343 0.927 0.657
La 0.214 0.687 0.786
Dy 0.755 0.678 0.765
Dy 0.765 0.322 0.755
La 0.786 0.313 0.214

2.
First-principles (GGA-PBE) data for a geometry-optimized La3SmDy structure, as listed in Alexandria via LeMat-Bulk.

Summary:
* volume: 175 Å³/f.u.
* excess energy over the best structure of this formula in the dataset: 0.0 meV/atom
* ΔH_f (0 K): 52 meV per atom
* symmetry: C2/c, No. 15
* total DFT energy (no corrections): -4.77 eV per atom
* ρ: 6.915 Mg/m³
* N(E_F): 7.23 states/eV/f.u.
* total moment: 0.0 Bohr magnetons per cell

a b c (Å): 6.741 10.416 10.416
angles (deg): 82.43 78.88 78.88
Element x y z (fractional)
La 0.151 0.738 0.863
Dy 0.560 0.530 0.667
La 0.439 0.219 0.587
Dy 0.440 0.470 0.333
La 0.849 0.262 0.137
Sm 0.750 0.935 0.065
La 0.939 0.587 0.219
La 0.061 0.413 0.781
La 0.652 0.612 0.988
La 0.152 0.988 0.612
La 0.561 0.781 0.413
La 0.348 0.388 0.012
Sm 0.250 0.809 0.191
La 0.349 0.137 0.262
Dy 0.060 0.667 0.530
La 0.651 0.863 0.738
Sm 0.250 0.065 0.935
Dy 0.940 0.333 0.470
La 0.848 0.012 0.388
Sm 0.750 0.191 0.809

3.
First-principles (GGA-PBE) data for a geometry-optimized LaSm3Dy6 structure, as listed in Alexandria via LeMat-Bulk.

Summary:
* volume: 338 Å³/f.u.
* excess energy over the best structure of this formula in the dataset: 0.0 meV/atom
* ΔH_f (0 K): 214 meV per atom
* symmetry: Cmc2_1, No. 36
* total DFT energy (no corrections): -4.46 eV per atom
* ρ: 7.692 Mg/m³
* N(E_F): 16.21 states/eV/f.u.
* total moment: 0.0 Bohr magnetons per cell

a b c (Å): 6.928 9.886 9.886
angles (deg): 93.58 90.00 90.00
Element x y z (fractional)
Dy 0.308 0.525 0.946
La 0.023 0.191 0.809
Dy 0.199 0.489 0.279
Sm 0.989 0.757 0.826
Sm 0.711 0.599 0.401
Sm 0.489 0.243 0.174
Sm 0.489 0.826 0.757
Dy 0.699 0.511 0.721
Sm 0.211 0.401 0.599
Dy 0.747 0.009 0.991
La 0.523 0.809 0.191
Dy 0.512 0.211 0.789
Dy 0.808 0.475 0.054
Dy 0.199 0.721 0.511
Sm 0.989 0.174 0.243
Dy 0.012 0.789 0.211
Dy 0.699 0.279 0.489
Dy 0.308 0.054 0.475
Dy 0.247 0.991 0.009
Dy 0.808 0.946 0.525

4.
First-principles (GGA-PBE) data for a geometry-optimized LaSm3Dy7 structure, as listed in Alexandria via LeMat-Bulk.

Summary:
* volume: 380 Å³/f.u.
* excess energy over the best structure of this formula in the dataset: 47.6 meV/atom
* ΔH_f (0 K): 189 meV per atom
* symmetry: P3m1, No. 156
* total DFT energy (no corrections): -4.47 eV per atom
* ρ: 7.558 Mg/m³
* N(E_F): 17.65 states/eV/f.u.
* total moment: 0.0 Bohr magnetons per cell

a b c (Å): 8.710 7.093 7.093
angles (deg): 120.00 90.00 90.00
Element x y z (fractional)
Dy 0.447 0.335 0.168
Dy 0.447 0.832 0.168
Dy 0.121 0.667 0.333
Dy 0.118 0.666 0.833
Dy 0.118 0.167 0.833
Sm 0.785 0.999 0.499
Dy 0.118 0.167 0.334
Sm 0.785 0.501 0.499
Dy 0.447 0.832 0.665
La 0.445 0.333 0.667
Sm 0.785 0.501 0.001

5.
First-principles (GGA-PBE) data for a geometry-optimized La4SmDy2 structure, as listed in Alexandria via LeMat-Bulk.

Summary:
* volume: 248 Å³/f.u.
* excess energy over the best structure of this formula in the dataset: 149.8 meV/atom
* ΔH_f (0 K): 220 meV per atom
* symmetry: Imma, No. 74
* total DFT energy (no corrections): -4.58 eV per atom
* ρ: 6.913 Mg/m³
* N(E_F): 10.75 states/eV/f.u.
* total moment: 0.0 Bohr magnetons per cell

a b c (Å): 6.985 9.121 9.121
angles (deg): 79.31 67.49 67.49
Element x y z (fractional)
La 0.775 0.757 0.257
La 0.225 0.243 0.743
La 0.849 0.151 0.152
La 0.151 0.849 0.848
Dy 0.500 0.500 0.500
Dy 0.716 0.034 0.534
La 0.151 0.348 0.349
La 0.211 0.757 0.257
Dy 0.284 0.966 0.466
Sm 0.000 0.500 0.000
Dy 0.500 0.000 0.000
La 0.849 0.652 0.651
Sm 0.500 0.500 0.000
La 0.789 0.243 0.743

6.
First-principles (GGA-PBE) data for a geometry-optimized LaSm4Dy6 structure, as listed in Alexandria via LeMat-Bulk.

Summary:
* volume: 394 Å³/f.u.
* ΔH_f (0 K): 431 meV per atom
* symmetry: I-42m, No. 121
* total DFT energy (no corrections): -4.24 eV per atom
* ρ: 7.230 Mg/m³
* N(E_F): 16.74 states/eV/f.u.
* total moment: 0.0 Bohr magnetons per cell

a b c (Å): 7.813 7.813 8.496
angles (deg): 117.38 117.38 90.00
Element x y z (fractional)
Dy 0.568 0.568 0.625
Dy 0.500 0.000 0.000
Sm 0.244 0.244 0.148
Sm 0.096 0.756 0.852
La 0.500 0.500 0.000
Dy 0.943 0.432 0.375
Dy 0.057 0.057 0.625
Dy 0.000 0.500 0.000
Dy 0.432 0.943 0.375
Sm 0.904 0.904 0.148
Sm 0.756 0.096 0.852

7.
First-principles (GGA-PBE) data for a geometry-optimized LaSm9Dy2 structure, as listed in Alexandria via LeMat-Bulk.

Summary:
* volume: 404 Å³/f.u.
* ΔH_f (0 K): 20 meV per atom
* symmetry: P4/mmm, No. 123
* total DFT energy (no corrections): -4.70 eV per atom
* ρ: 7.468 Mg/m³
* N(E_F): 20.07 states/eV/f.u.
* total moment: 0.0 Bohr magnetons per cell

a b c (Å): 5.123 5.123 15.397
angles (deg): 90.00 90.00 90.00
Element x y z (fractional)
Dy 0.000 0.000 0.665
La 0.000 0.000 0.000
Sm 0.500 0.000 0.170
Sm 0.000 0.500 0.170
Sm 0.000 0.500 0.830
Sm 0.500 0.500 0.664
Sm 0.500 0.500 0.000
Sm 0.500 0.500 0.336
Sm 0.500 0.000 0.500
Dy 0.000 0.000 0.335
Sm 0.500 0.000 0.830
Sm 0.000 0.500 0.500

8.
First-principles (GGA-PBE) data for a geometry-optimized La5Sm2Dy2 structure, as listed in Alexandria via LeMat-Bulk.

Summary:
* volume: 312 Å³/f.u.
* excess energy over the best structure of this formula in the dataset: 74.9 meV/atom
* ΔH_f (0 K): 189 meV per atom
* symmetry: Ima2, No. 46
* total DFT energy (no corrections): -4.62 eV per atom
* ρ: 7.036 Mg/m³
* N(E_F): 11.95 states/eV/f.u.
* total moment: 0.0 Bohr magnetons per cell

a b c (Å): 11.845 6.988 10.196
angles (deg): 110.04 125.51 90.00
Element x y z (fractional)
Dy 0.622 0.169 0.258
La 0.780 0.269 0.102
Sm 0.000 0.073 0.000
La 0.004 0.143 0.500
La 0.220 0.167 0.898
La 0.179 0.667 0.898
La 0.821 0.769 0.102
Sm 0.746 0.849 0.500
Sm 0.500 0.573 0.000
La 0.370 0.022 0.289
Dy 0.864 0.411 0.742
Dy 0.136 0.669 0.258
Dy 0.378 0.911 0.742
Sm 0.254 0.349 0.500
La 0.419 0.522 0.289
La 0.581 0.233 0.711
La 0.996 0.643 0.500
La 0.630 0.733 0.711

9.
First-principles (GGA-PBE) data for a geometry-optimized La6SmDy12 structure, as listed in Alexandria via LeMat-Bulk.

Summary:
* volume: 661 Å³/f.u.
* ΔH_f (0 K): 216 meV per atom
* symmetry: R-3m, No. 166
* total DFT energy (no corrections): -4.50 eV per atom
* ρ: 7.374 Mg/m³
* N(E_F): 33.29 states/eV/f.u.
* total moment: 0.0 Bohr magnetons per cell

a b c (Å): 8.826 8.826 8.826
angles (deg): 98.77 98.77 98.77
Element x y z (fractional)
Dy 0.754 0.246 0.500
Dy 0.246 0.500 0.754
Dy 0.645 0.920 0.645
Dy 0.355 0.080 0.355
Dy 0.246 0.754 0.500
La 0.904 0.346 0.904
Sm 0.000 0.000 0.000
La 0.096 0.096 0.654
Dy 0.355 0.355 0.080
La 0.654 0.096 0.096
Dy 0.645 0.645 0.920
Dy 0.500 0.754 0.246
La 0.096 0.654 0.096
Dy 0.500 0.246 0.754
Dy 0.754 0.500 0.246
Dy 0.080 0.355 0.355
La 0.346 0.904 0.904
Dy 0.920 0.645 0.645
La 0.904 0.904 0.346

10.
First-principles (GGA-PBE) data for a geometry-optimized LaSm7Dy3 structure, as listed in Alexandria via LeMat-Bulk.

Summary:
* volume: 379 Å³/f.u.
* excess energy over the best structure of this formula in the dataset: 10.1 meV/atom
* ΔH_f (0 K): 226 meV per atom
* symmetry: C2/m, No. 12
* total DFT energy (no corrections): -4.48 eV per atom
* ρ: 7.359 Mg/m³
* N(E_F): 16.97 states/eV/f.u.
* total moment: 0.2 Bohr magnetons per cell

a b c (Å): 5.916 8.534 8.534
angles (deg): 83.32 110.34 110.34
Element x y z (fractional)
Dy 0.000 0.797 0.203
Sm 0.297 0.597 0.998
Sm 0.791 0.792 0.792
Dy 0.000 0.203 0.797
Dy 0.500 0.000 0.000
La 0.500 0.500 0.500
Sm 0.703 0.002 0.403
Sm 0.000 0.500 0.500
Sm 0.209 0.208 0.208
Sm 0.703 0.403 0.002
Sm 0.297 0.998 0.597

11.
First-principles (GGA-PBE) data for a geometry-optimized La3Sm4Dy structure, as listed in Alexandria via LeMat-Bulk.

Summary:
* volume: 281 Å³/f.u.
* excess energy over the best structure of this formula in the dataset: 80.2 meV/atom
* ΔH_f (0 K): 116 meV per atom
* symmetry: Immm, No. 71
* total DFT energy (no corrections): -4.67 eV per atom
* ρ: 6.970 Mg/m³
* N(E_F): 12.61 states/eV/f.u.
* total moment: 0.0 Bohr magnetons per cell

a b c (Å): 3.545 9.106 9.106
angles (deg): 82.01 78.77 78.77
Element x y z (fractional)
La 0.758 0.242 0.242
Dy 0.500 0.000 0.000
La 0.242 0.758 0.758
Sm 0.366 0.380 0.887
Sm 0.634 0.113 0.620
Sm 0.366 0.887 0.380
Sm 0.634 0.620 0.113
La 0.000 0.500 0.500

12.
First-principles (GGA-PBE) data for a geometry-optimized La3SmDy4 structure, as listed in Alexandria via LeMat-Bulk.

Summary:
* volume: 273 Å³/f.u.
* excess energy over the best structure of this formula in the dataset: 0.0 meV/atom
* ΔH_f (0 K): 34 meV per atom
* symmetry: Pmn2_1, No. 31
* total DFT energy (no corrections): -4.70 eV per atom
* ρ: 7.408 Mg/m³
* N(E_F): 14.44 states/eV/f.u.
* total moment: 0.0 Bohr magnetons per cell

a b c (Å): 6.359 7.346 11.678
angles (deg): 90.00 90.00 90.00
Element x y z (fractional)
Dy 0.481 0.879 0.749
Dy 0.650 0.122 0.000
Dy 0.150 0.878 0.500
Dy 0.981 0.121 0.751
Dy 0.648 0.121 0.500
Sm 0.148 0.369 0.000
La 0.149 0.372 0.500
Dy 0.481 0.879 0.251
La 0.649 0.628 0.000
Dy 0.148 0.879 0.000
La 0.980 0.625 0.750
La 0.480 0.375 0.750
La 0.980 0.625 0.250
Sm 0.648 0.631 0.500
Dy 0.981 0.121 0.249
La 0.480 0.375 0.250